# AcHoLuTh

AcHoLuTh after structural relaxation (GGA-PBE, Alexandria via LeMat-Bulk).

Unit cell a=5.7726 b=5.7726 c=5.7726 alpha=60.00 beta=60.00 gamma=60.00
Last column: nearest neighbours and their distance in Å.
Atoms (fractional coordinates):
Ac  0.0000  0.0000  0.0000  4 Ho 3.54, 4 Lu 3.54
Ho  0.2500  0.2500  0.2500  4 Th 3.54, 4 Ac 3.54
Lu  0.7500  0.7500  0.7500  4 Th 3.54, 4 Ac 3.54
Th  0.5000  0.5000  0.5000  4 Lu 3.54, 4 Ho 3.54

## Properties
As for the density of states at the Fermi level: 1.424 states/eV/atom. The calculation puts the volume at 136.0 Å³/cell. For the formation energy, the calculation gives 0.5 eV per formula unit.

=====

# CsTmNb6Br18

CsTmNb6Br18 after structural relaxation (GGA-PBE, Alexandria via LeMat-Bulk).

Unit cell a=9.9262 b=9.9262 c=18.4458 alpha=90.00 beta=90.00 gamma=120.00
Last column: nearest neighbours and their distance in Å.
Atoms (fractional coordinates):
Cs  0.3333  0.6667  0.2500  12 Br 4.09-4.14
Cs  0.6667  0.3333  0.7500  12 Br 4.09-4.14
Tm  0.3333  0.6667  0.7500  6 Br 2.81
Tm  0.6667  0.3333  0.2500  6 Br 2.81
Nb  0.0401  0.1886  0.5653  4 Br 2.60-2.62
Nb  0.0401  0.8514  0.9347  4 Br 2.60-2.62
Nb  0.1486  0.1886  0.9347  4 Br 2.60-2.62
Nb  0.1486  0.9599  0.5653  4 Br 2.60-2.62
Nb  0.1886  0.0401  0.0653  4 Br 2.60-2.62
Nb  0.1886  0.1486  0.4347  4 Br 2.60-2.62
Nb  0.8114  0.8514  0.5653  4 Br 2.60-2.62
Nb  0.8114  0.9599  0.9347  4 Br 2.60-2.62
Nb  0.8514  0.0401  0.4347  4 Br 2.60-2.62
Nb  0.8514  0.8114  0.0653  4 Br 2.60-2.62
Nb  0.9599  0.1486  0.0653  4 Br 2.60-2.62
Nb  0.9599  0.8114  0.4347  4 Br 2.60-2.62
Br  0.0481  0.2322  0.3400  2 Nb 2.60-2.62
Br  0.0481  0.8159  0.1600  2 Nb 2.60-2.62
Br  0.0895  0.4496  0.6628  1 Tm 2.81, 1 Nb 2.99
Br  0.0895  0.6399  0.8372  1 Tm 2.81, 1 Nb 2.99
Br  0.1363  0.4149  0.0009  2 Nb 2.61
Br  0.1363  0.7214  0.4991  2 Nb 2.61
Br  0.1841  0.2322  0.1600  2 Nb 2.60-2.62
Br  0.1841  0.9519  0.3400  2 Nb 2.60-2.62
Br  0.2322  0.0481  0.8400  2 Nb 2.60-2.62
Br  0.2322  0.1841  0.6600  2 Nb 2.60-2.62
Br  0.2786  0.4149  0.4991  2 Nb 2.61
Br  0.2786  0.8637  0.0009  2 Nb 2.61
Br  0.3601  0.4496  0.8372  1 Tm 2.81, 1 Nb 2.99
Br  0.3601  0.9105  0.6628  1 Tm 2.81, 1 Nb 2.99
Br  0.4149  0.1363  0.5009  2 Nb 2.61
Br  0.4149  0.2786  0.9991  2 Nb 2.61
Br  0.4496  0.0895  0.1628  1 Tm 2.81, 1 Nb 2.99
Br  0.4496  0.3601  0.3372  1 Tm 2.81, 1 Nb 2.99
Br  0.5504  0.6399  0.6628  1 Tm 2.81, 1 Nb 2.99
Br  0.5504  0.9105  0.8372  1 Tm 2.81, 1 Nb 2.99
Br  0.5851  0.7214  0.0009  2 Nb 2.61
Br  0.5851  0.8637  0.4991  2 Nb 2.61
Br  0.6399  0.0895  0.3372  1 Tm 2.81, 1 Nb 2.99
Br  0.6399  0.5504  0.1628  1 Tm 2.81, 1 Nb 2.99
Br  0.7214  0.1363  0.9991  2 Nb 2.61
Br  0.7214  0.5851  0.5009  2 Nb 2.61
Br  0.7678  0.8159  0.3400  2 Nb 2.60-2.62
Br  0.7678  0.9519  0.1600  2 Nb 2.60-2.62
Br  0.8159  0.0481  0.6600  2 Nb 2.60-2.62
Br  0.8159  0.7678  0.8400  2 Nb 2.60-2.62
Br  0.8637  0.2786  0.5009  2 Nb 2.61
Br  0.8637  0.5851  0.9991  2 Nb 2.61
Br  0.9105  0.3601  0.1628  1 Tm 2.81, 1 Nb 2.99
Br  0.9105  0.5504  0.3372  1 Tm 2.81, 1 Nb 2.99
Br  0.9519  0.1841  0.8400  2 Nb 2.60-2.62
Br  0.9519  0.7678  0.6600  2 Nb 2.60-2.62

## Properties
The calculation puts the volume at 1573.9 Å³/cell. As for the formation energy without anion corrections: -1.1256 eV per atom.

=====

# Li3H6Rh

Li3H6Rh after structural relaxation (GGA-PBE, Alexandria via LeMat-Bulk).

Unit cell a=8.3561 b=4.6933 c=8.4526 alpha=90.00 beta=90.00 gamma=90.00
Last column: nearest neighbours and their distance in Å.
Atoms (fractional coordinates):
Li  0.0459  0.2500  0.1285  7 H 2.00-2.18
Li  0.1008  0.7500  0.5245  4 H 1.86-2.07
Li  0.2213  0.2500  0.7497  3 H 1.83-2.00
Li  0.2787  0.7500  0.2497  3 H 1.83-2.00
Li  0.3992  0.2500  0.0245  4 H 1.86-2.07
Li  0.4541  0.7500  0.6285  7 H 2.00-2.18
Li  0.5459  0.2500  0.3715  7 H 2.00-2.18
Li  0.6008  0.7500  0.9755  4 H 1.86-2.07
Li  0.7213  0.2500  0.7503  3 H 1.83-2.00
Li  0.7787  0.7500  0.2503  3 H 1.83-2.00
Li  0.8992  0.2500  0.4755  4 H 1.86-2.07
Li  0.9541  0.7500  0.8715  7 H 2.00-2.18
H  0.1032  0.0048  0.3248  1 Rh 1.66
H  0.1032  0.4952  0.3248  1 Rh 1.66
H  0.1151  0.2500  0.5605  1 Rh 1.66, 1 Li 1.83
H  0.1518  0.0003  0.9673  1 Rh 1.66
H  0.1518  0.4997  0.9673  1 Rh 1.66
H  0.1694  0.7500  0.7342  1 Rh 1.64
H  0.3306  0.2500  0.2342  1 Rh 1.64
H  0.3482  0.9997  0.4673  1 Rh 1.66
H  0.3482  0.5003  0.4673  1 Rh 1.66
H  0.3849  0.7500  0.0605  1 Rh 1.66, 1 Li 1.83
H  0.3968  0.5048  0.8248  1 Rh 1.66
H  0.3968  0.9952  0.8248  1 Rh 1.66
H  0.6032  0.0048  0.1752  1 Rh 1.66
H  0.6032  0.4952  0.1752  1 Rh 1.66
H  0.6151  0.2500  0.9395  1 Rh 1.66, 1 Li 1.83
H  0.6518  0.0003  0.5327  1 Rh 1.66
H  0.6518  0.4997  0.5327  1 Rh 1.66
H  0.6694  0.7500  0.7658  1 Rh 1.64
H  0.8306  0.2500  0.2658  1 Rh 1.64
H  0.8482  0.9997  0.0327  1 Rh 1.66
H  0.8482  0.5003  0.0327  1 Rh 1.66
H  0.8849  0.7500  0.4395  1 Rh 1.66, 1 Li 1.83
H  0.8968  0.5048  0.6752  1 Rh 1.66
H  0.8968  0.9952  0.6752  1 Rh 1.66
Rh  0.2260  0.2500  0.3979  6 H 1.64-1.66
Rh  0.2740  0.7500  0.8979  6 H 1.64-1.66
Rh  0.7260  0.2500  0.1021  6 H 1.64-1.66
Rh  0.7740  0.7500  0.6021  6 H 1.64-1.66

## Properties
As for the density of states at the Fermi level: 0.000 states/eV/atom. The calculation puts the volume at 331.5 Å³/cell.

=====

# ZnRe2Au

ZnRe2Au after structural relaxation (GGA-PBE, Alexandria via LeMat-Bulk).

Unit cell a=2.6691 b=2.6691 c=8.7009 alpha=90.00 beta=90.00 gamma=90.00
Last column: nearest neighbours and their distance in Å.
Atoms (fractional coordinates):
Zn  0.0000  0.0000  0.0000  4 Zn 2.67, 8 Re 2.81
Re  0.5000  0.5000  0.2394  4 Re 2.67, 4 Zn 2.81, 4 Au 2.95
Re  0.5000  0.5000  0.7606  4 Re 2.67, 4 Zn 2.81, 4 Au 2.95
Au  0.0000  0.0000  0.5000  4 Au 2.67, 8 Re 2.95

## Properties
As for the density of states at the Fermi level: 0.893 states/eV/atom. The calculation puts the volume at 62.0 Å³/cell. For the formation energy, the calculation gives 2.2 eV per formula unit.

=====

# Pu4IrSe2Cl

Pu4IrSe2Cl after structural relaxation (GGA-PBE, Alexandria via LeMat-Bulk).

Unit cell a=7.1422 b=4.0265 c=7.2116 alpha=90.00 beta=109.11 gamma=90.00
Last column: nearest neighbours and their distance in Å.
Atoms (fractional coordinates):
Pu  0.2340  0.0000  0.2346  2 Ir 2.80, 3 Se 2.92-2.99, 1 Cl 2.93
Pu  0.2426  0.5000  0.7590  1 Ir 2.83, 2 Cl 2.89, 3 Se 2.90-3.02
Pu  0.7574  0.5000  0.2410  1 Ir 2.83, 2 Cl 2.89, 3 Se 2.90-3.02
Pu  0.7660  0.0000  0.7654  2 Ir 2.80, 3 Se 2.92-2.99, 1 Cl 2.93
Ir  0.0000  0.5000  0.0000  6 Pu 2.80-2.83
Se  0.0000  0.0000  0.5000  6 Pu 2.90-2.92
Se  0.5000  0.5000  0.5000  6 Pu 2.99-3.02
Cl  0.5000  0.0000  0.0000  6 Pu 2.89-2.93

## Properties
As for the density of states at the Fermi level: 4.292 states/eV/atom. The calculation puts the volume at 196.0 Å³/cell. As for the formation energy without anion corrections: -1.0921 eV per atom.

=====

# ScCrPb

ScCrPb after structural relaxation (GGA-PBE, Alexandria via LeMat-Bulk).

Unit cell a=4.7602 b=4.7602 c=3.3240 alpha=90.00 beta=90.00 gamma=120.00
Last column: nearest neighbours and their distance in Å.
Atoms (fractional coordinates):
Sc  0.0000  0.0000  0.0000  6 Cr 3.21, 6 Pb 3.21, 2 Sc 3.32
Cr  0.3333  0.6667  0.5000  3 Pb 2.75
Pb  0.6667  0.3333  0.5000  3 Cr 2.75

## Properties
As for the density of states at the Fermi level: 0.597 states/eV/atom. The calculation puts the volume at 65.2 Å³/cell. For the formation energy, the calculation gives 0.4 eV per formula unit.

=====

# Nd5Zn4Sn

Nd5Zn4Sn after structural relaxation (GGA-PBE, Alexandria via LeMat-Bulk).

Unit cell a=3.6852 b=3.6852 c=19.0375 alpha=90.00 beta=90.00 gamma=90.00
Last column: nearest neighbours and their distance in Å.
Atoms (fractional coordinates):
Nd  0.0000  0.0000  0.0000  8 Zn 3.21
Nd  0.0000  0.0000  0.1939  8 Zn 3.16-3.18
Nd  0.0000  0.0000  0.3884  4 Zn 3.24, 4 Sn 3.36
Nd  0.0000  0.0000  0.6116  4 Zn 3.24, 4 Sn 3.36
Nd  0.0000  0.0000  0.8061  8 Zn 3.16-3.18
Zn  0.5000  0.5000  0.0983  8 Nd 3.18-3.21
Zn  0.5000  0.5000  0.2874  8 Nd 3.16-3.24
Zn  0.5000  0.5000  0.7126  8 Nd 3.16-3.24
Zn  0.5000  0.5000  0.9017  8 Nd 3.18-3.21
Sn  0.5000  0.5000  0.5000  8 Nd 3.36, 4 Sn 3.69

## Properties
As for the density of states at the Fermi level: 1.043 states/eV/atom. The calculation puts the volume at 258.5 Å³/cell. For the formation energy, the calculation gives -3.8 eV per formula unit.

=====

# SbPS3

SbPS3 after structural relaxation (GGA-PBE, Alexandria via LeMat-Bulk).

Unit cell a=4.5553 b=4.5553 c=4.5553 alpha=90.00 beta=90.00 gamma=90.00
Last column: nearest neighbours and their distance in Å.
Atoms (fractional coordinates):
Sb  0.0000  0.0000  0.0000  12 S 3.22
P  0.5000  0.5000  0.5000  6 S 2.28
S  0.0000  0.5000  0.5000  2 P 2.28
S  0.5000  0.0000  0.5000  2 P 2.28
S  0.5000  0.5000  0.0000  2 P 2.28

## Properties
As for the density of states at the Fermi level: 0.268 states/eV/atom. The calculation puts the volume at 94.5 Å³/cell. As for the formation energy without anion corrections: 0.2993 eV per atom.

=====

Total energy for the records above, in order: -5.0325, -4.8124, -3.7449, -6.8181, -10.4676, -6.4085, -3.6767, -4.0836 eV per atom